Entry from the Alexandria database: a relaxed structure of ErZrIrRu (GGA-PBE).

Unit cell a=6.6685 b=6.6685 c=6.6685 alpha=90.00 beta=90.00 gamma=90.00
Closest atoms and distances in Å follow each position.
Space group F-43m (No. 216)
Symmetry-distinct sites (fractional):
1 Er 0.0000 0.0000 0.0000 [4 per cell]  4 Ru 2.89, 4 Ir 2.89
2 Zr 0.0000 0.0000 0.5000 [4 per cell]  4 Ru 2.89, 4 Ir 2.89
3 Ir 0.2500 0.2500 0.2500 [4 per cell]  4 Zr 2.89, 4 Er 2.89
4 Ru 0.2500 0.2500 0.7500 [4 per cell]  4 Zr 2.89, 4 Er 2.89

Calculated values
For the formation energy from the elements, the calculation gives -0.7139 eV per atom. The theoretical density comes out at 12.36 g/cm3. The total energy is -8.5259 eV/atom.